# 1
# TaIn2Rh

An optimized crystal structure of TaIn2Rh (PBE-GGA, the Alexandria database). Values from VASP.

Calculated values
E_form   0.84 eV per formula unit
Theoretical density   11.38 g/cm³
Total energy   -5.961 eV/atom

Quantum ESPRESSO input file:
```
&SYSTEM
  ibrav = 0, nat = 4, ntyp = 3
/
ATOMIC_SPECIES
Ta 180.95 Ta.upf
In 114.82 In.upf
Rh 102.91 Rh.upf
CELL_PARAMETERS angstrom
1.968 1.318 4.564
-3.788 0.080 3.477
1.414 -3.585 -3.405
ATOMIC_POSITIONS crystal
Ta 0.000 0.000 0.000
In 0.750 0.250 0.500
In 0.250 0.750 0.500
Rh 0.500 0.500 0.000
```



# 2
# BP2C

An optimized crystal structure of BP2C (PBE-GGA, the Alexandria database). Values from VASP.

Calculated values
E_form   1.03 eV per formula unit
Theoretical density   3.29 g/cm³
Total energy   -6.423 eV/atom

Quantum ESPRESSO input file:
```
&SYSTEM
  ibrav = 0, nat = 8, ntyp = 3
/
ATOMIC_SPECIES
P 30.97 P.upf
C 12.01 C.upf
B 10.81 B.upf
CELL_PARAMETERS angstrom
-0.343 -3.442 2.704
2.042 -2.525 -2.955
4.765 -1.945 1.693
ATOMIC_POSITIONS crystal
P 0.630 0.125 0.250
P 0.120 0.625 0.250
P 0.375 0.370 0.750
P 0.875 0.880 0.750
C 0.000 0.000 0.000
C 0.750 0.250 0.500
B 0.500 0.500 0.000
B 0.250 0.750 0.500
```



# 3
# SrZr2Ni

An optimized crystal structure of SrZr2Ni (PBE-GGA, the Alexandria database). Values from VASP.

Calculated values
E_form   2.96 eV per formula unit
Theoretical density   4.28 g/cm³
Total energy   -5.400 eV/atom

Quantum ESPRESSO input file:
```
&SYSTEM
  ibrav = 0, nat = 8, ntyp = 3
/
ATOMIC_SPECIES
Sr 87.62 Sr.upf
Zr 91.22 Zr.upf
Ni 58.69 Ni.upf
CELL_PARAMETERS angstrom
5.445 0.000 0.000
0.000 5.445 0.000
2.722 2.722 8.597
ATOMIC_POSITIONS crystal
Sr 0.000 0.000 0.000
Sr 0.750 0.250 0.500
Zr 0.375 0.125 0.250
Zr 0.375 0.625 0.250
Zr 0.375 0.625 0.750
Zr 0.875 0.625 0.750
Ni 0.500 0.500 0.000
Ni 0.250 0.750 0.500
```



# 4
# Nd3PuHg6

An optimized crystal structure of Nd3PuHg6 (PBE-GGA, the Alexandria database). Values from VASP.

Calculated values
E_form   -3.48 eV per formula unit
Theoretical density   11.62 g/cm³
Total energy   -3.392 eV/atom

Quantum ESPRESSO input file:
```
&SYSTEM
  ibrav = 0, nat = 20, ntyp = 3
/
ATOMIC_SPECIES
Nd 144.24 Nd.upf
Pu 244.00 Pu.upf
Hg 200.59 Hg.upf
CELL_PARAMETERS angstrom
5.261 0.000 0.000
0.000 8.862 -3.034
0.000 -0.112 11.569
ATOMIC_POSITIONS crystal
Nd 0.250 0.521 0.378
Nd 0.750 0.479 0.622
Nd 0.250 0.353 0.786
Nd 0.750 0.647 0.214
Nd 0.250 0.778 0.982
Nd 0.750 0.222 0.018
Pu 0.250 0.951 0.585
Pu 0.750 0.049 0.415
Hg 0.250 0.471 0.080
Hg 0.750 0.529 0.920
Hg 0.250 0.149 0.179
Hg 0.750 0.851 0.821
Hg 0.250 0.669 0.687
Hg 0.750 0.331 0.313
Hg 0.250 0.254 0.490
Hg 0.750 0.746 0.510
Hg 0.250 0.851 0.288
Hg 0.750 0.149 0.712
Hg 0.250 0.061 0.877
Hg 0.750 0.939 0.123
```



Among the records above, which one has the lowest total energy?
BP2C



Repeat the fourth record exactly.
# Nd3PuHg6

An optimized crystal structure of Nd3PuHg6 (PBE-GGA, the Alexandria database). Values from VASP.

Calculated values
E_form   -3.48 eV per formula unit
Theoretical density   11.62 g/cm³
Total energy   -3.392 eV/atom

Quantum ESPRESSO input file:
```
&SYSTEM
  ibrav = 0, nat = 20, ntyp = 3
/
ATOMIC_SPECIES
Nd 144.24 Nd.upf
Pu 244.00 Pu.upf
Hg 200.59 Hg.upf
CELL_PARAMETERS angstrom
5.261 0.000 0.000
0.000 8.862 -3.034
0.000 -0.112 11.569
ATOMIC_POSITIONS crystal
Nd 0.250 0.521 0.378
Nd 0.750 0.479 0.622
Nd 0.250 0.353 0.786
Nd 0.750 0.647 0.214
Nd 0.250 0.778 0.982
Nd 0.750 0.222 0.018
Pu 0.250 0.951 0.585
Pu 0.750 0.049 0.415
Hg 0.250 0.471 0.080
Hg 0.750 0.529 0.920
Hg 0.250 0.149 0.179
Hg 0.750 0.851 0.821
Hg 0.250 0.669 0.687
Hg 0.750 0.331 0.313
Hg 0.250 0.254 0.490
Hg 0.750 0.746 0.510
Hg 0.250 0.851 0.288
Hg 0.750 0.149 0.712
Hg 0.250 0.061 0.877
Hg 0.750 0.939 0.123
```



The highest total energy belongs to which entry?
Nd3PuHg6